Al4Si2Mo3 | SCAN | PBEsol geometry

Values from the calculation:
Formation energy without anion corrections   -342 meV per atom
Magnetization   0.00 μB/cell
VASP energy   -17.64 eV per atom

Cell: 4.8102 8.2076 13.3046 Å, 90.00 99.75 90.00°
Space group C2 (No. 5)
Inequivalent atoms, fractional coordinates:
Al 0.0000 0.0000 0.0000
Al 0.0000 0.3299 0.0000
Al 0.1606 0.5592 0.8320
Al 0.1701 0.8186 0.3318
Al 0.1734 0.4887 0.3350
Si 0.0000 0.0622 0.5000
Si 0.0000 0.7365 0.5000
Si 0.1572 0.2276 0.8330
Mo 0.0000 0.3976 0.5000
Mo 0.0000 0.6646 0.0000
Mo 0.1616 0.8956 0.8335
Mo 0.1697 0.1544 0.3379